<a>
First-principles (GGA-PBE) data for a relaxed structure of PrCuNi4, as listed in the Alexandria database.

Output
space group: F-43m
Fermi-level density of states: 9.18 states/eV/f.u.
V: 162 Å³/cell

Geometry as extended XYZ:
```
6
Lattice="-0.9411 -4.2711 -4.2743 4.3464 -1.2020 -4.1306 3.0629 -5.2879 0.2348" Properties=species:S:1:pos:R:3 pbc="T T T"
Pr 4.8511 -8.0708 -6.1276
Cu 0.0000 0.0000 0.0000
Ni 2.2114 -5.9381 -3.3027
Ni 3.8400 -6.3885 -4.8504
Ni 4.1926 -4.7882 -3.2488
Ni 2.6923 -4.4072 -4.9383
```

<b>
First-principles (GGA-PBE) data for a relaxed structure of PrCuNi4, as listed in the Alexandria database.

Output
space group: F-43m
Fermi-level density of states: 6.96 states/eV/f.u.
V: 86 Å³/cell

Geometry as extended XYZ:
```
6
Lattice="-1.7578 -0.7155 -4.5703 2.7216 -2.4261 -3.3462 -1.3350 -4.5375 -1.4553" Properties=species:S:1:pos:R:3 pbc="T T T"
Pr -0.0928 -1.9198 -2.3430
Ni 0.4423 -2.5163 -5.1346
Ni -1.6083 -3.5836 -4.1788
Ni -0.2325 -4.8100 -5.8703
Ni 0.6560 -4.4483 -3.5600
Cu 0.0000 0.0000 0.0000
```

Q: Which of them is the least stable? A: <a>.

<a>
First-principles (GGA-PBE) data for a relaxed structure of Pr2Cu3Ni2, as listed in the Alexandria database.

Output
space group: C2/m
Fermi-level density of states: 3.15 states/eV/f.u.
V: 124 Å³/cell

Geometry as extended XYZ:
```
7
Lattice="-2.6143 -0.6914 3.2455 -0.0995 -3.7989 -3.6388 4.9432 -1.5141 3.6592" Properties=species:S:1:pos:R:3 pbc="T T T"
Pr -0.0196 -1.7910 2.3520
Pr 2.2489 -4.2133 0.9139
Cu -0.2652 -2.5222 -0.7510
Cu 0.0000 0.0000 0.0000
Cu 2.4946 -3.4821 4.0169
Ni 3.0833 -1.7976 2.1007
Ni -0.8540 -4.2068 1.1653
```

<b>
First-principles (GGA-PBE) data for a relaxed structure of Pr2Cu3Ni2, as listed in the Alexandria database.

Output
space group: C2/m
Fermi-level density of states: 4.15 states/eV/f.u.
V: 132 Å³/cell

Geometry as extended XYZ:
```
7
Lattice="-0.6239 -4.0375 0.3360 3.9864 1.7440 3.3534 -5.3480 1.1197 3.5251" Properties=species:S:1:pos:R:3 pbc="T T T"
Pr -2.9041 -1.3143 3.8205
Pr 0.9186 0.1405 3.3940
Cu -1.4452 0.6950 5.6680
Cu 0.0000 0.0000 0.0000
Cu -0.5403 -1.8688 1.5465
Ni -1.5202 0.3836 1.7869
Ni -0.4653 -1.5574 5.4276
```

Q: Which of them is the least stable? A: <a>.

<a>
First-principles (GGA-PBE) data for a relaxed structure of PrCu2Ni4, as listed in the Alexandria database.

Output
space group: Immm
Fermi-level density of states: 9.32 states/eV/f.u.
V: 97 Å³/cell

Geometry as extended XYZ:
```
7
Lattice="-4.8985 -0.2384 0.0893 -2.3136 -3.8977 -2.3064 -2.2711 -2.4747 3.8188" Properties=species:S:1:pos:R:3 pbc="T T T"
Pr -4.5848 -6.3724 1.5124
Cu -5.9669 -3.3642 0.8230
Cu -3.5160 -3.2466 0.7787
Ni -4.8147 -2.5642 -1.3572
Ni -4.6684 -4.0466 2.9589
Ni -4.7887 -1.6884 2.4117
Ni -4.6946 -4.9224 -0.8100
```

<b>
First-principles (GGA-PBE) data for a relaxed structure of PrCu2Ni4, as listed in the Alexandria database.

Output
space group: I4/mmm
Fermi-level density of states: 6.02 states/eV/f.u.
V: 125 Å³/cell

Geometry as extended XYZ:
```
7
Lattice="5.5274 -0.4889 0.0000 -2.6788 4.8596 0.0000 -1.4243 -2.1853 4.8976" Properties=species:S:1:pos:R:3 pbc="T T T"
Pr 0.0000 0.0000 0.0000
Cu -1.3394 2.4298 2.4488
Cu 2.7637 -0.2445 2.4488
Ni 2.3488 1.5827 1.1036
Ni 0.4998 2.7879 1.1036
Ni 0.9245 -0.6026 3.7941
Ni -0.9245 0.6026 3.7941
```

Q: Which of them is the least stable? A: <b>.